P.
DFT (GGA-PBE) results for a relaxed structure of Er2Si3Rh2.

Lattice parameters (Å, degrees): 4.020 17.463 6.929 90.00 90.00 90.00
Space group Cmcm (No. 63)
Symmetry-distinct sites (fractional):
Er1 0.000 0.056 0.250 x4
Er2 0.000 0.157 0.750 x4
Si1 0.000 0.224 0.250 x4
Si2 0.000 0.439 0.072 x8
Rh1 0.000 0.309 0.548 x8


Q.
DFT (GGA-PBE) results for a relaxed structure of Er2Si3Rh2.

Lattice parameters (Å, degrees): 9.927 4.151 6.430 90.00 114.91 90.00
Space group C2/m (No. 12)
Symmetry-distinct sites (fractional):
Er1 0.153 0.000 0.273 x4
Si1 0.000 0.500 0.500 x2
Si2 0.112 0.500 0.941 x4
Rh1 0.133 0.000 0.729 x4


Ranking the structures above by energy, P is first and the second is 0.106 eV/atom behind.